## K2BiTeO6 (GGA-PBE)

Data for crystalline K2BiTeO6 at its relaxed geometry.

Geometry as POSCAR:
```
K2BiTeO6
1.0
5.9218 -0.0004 0.0015
0.0003 5.9218 0.0014
2.9621 2.9617 4.1903
O Te K Bi
6 1 2 1
Direct
0.2650 0.2650 0.0008 O
0.7348 0.7348 0.5312 O
0.7350 0.7350 0.9992 O
0.7346 0.2654 0.9999 O
0.2652 0.2652 0.4688 O
0.2654 0.7346 0.0001 O
0.5000 0.5000 0.0000 Te
0.7500 0.2499 0.5000 K
0.2500 0.7501 0.5000 K
0.0000 0.0000 0.0000 Bi
```

Calculated values
Energy   -51.456 eV/cell
Raw formation energy   -1249 meV/atom
Density   5.8 g/cm³